# 1
Here is crystalline AcGaIr at its relaxed geometry from Alexandria via LeMat-Bulk. Energies are from PBE.

a = 4.814 Å, b = 4.814 Å, c = 4.814 Å
α = 60.00°, β = 60.00°, γ = 60.00°
Sites, in units of the cell vectors:
1 Ac 0.500 0.500 0.500
2 Ir 0.250 0.250 0.250
3 Ga 0.000 0.000 0.000

Values from the calculation:
* E_form: -0.43 eV/atom
* DOS(E_F): 1.500 states/eV per cell
* VASP energy: -5.763 eV per atom
* crystal system: cubic
* mass density: 10.29 g/cm³
* energy above the most stable polymorph in this dataset: 268.6 meV/atom

# 2
Here is crystalline LiCdSb2Te at its relaxed geometry from Alexandria via LeMat-Bulk. Energies are from PBE.

a = 5.518 Å, b = 5.518 Å, c = 5.863 Å
α = 90.00°, β = 90.00°, γ = 90.00°
Sites, in units of the cell vectors:
1 Cd 0.000 0.000 0.000
2 Sb 0.000 0.500 0.000
3 Sb 0.500 0.000 0.000
4 Li 0.500 0.500 0.500
5 Te 0.000 0.000 0.500

Values from the calculation:
* DOS(E_F): 4.641 states/eV per cell
* VASP energy: -2.402 eV per atom
* crystal system: tetragonal
* uncorrected formation energy: 42.52 kJ per mole of atoms
* mass density: 4.56 g/cm³
* energy above the most stable polymorph in this dataset: 170.2 meV/atom

# 3
Here is crystalline Ho3Cd2Au3 at its relaxed geometry from Alexandria via LeMat-Bulk. Energies are from PBE.

a = 5.809 Å, b = 8.664 Å, c = 8.664 Å
α = 120.00°, β = 90.00°, γ = 90.00°
Sites, in units of the cell vectors:
1 Cd 0.500 0.667 0.333
2 Ho 0.750 0.721 0.721
3 Au 0.750 0.000 0.625
4 Ho 0.750 0.279 0.000
5 Cd 0.000 0.667 0.333
6 Au 0.750 0.625 0.000
7 Au 0.250 0.000 0.375
8 Ho 0.750 0.000 0.279
9 Cd 0.000 0.333 0.667
10 Ho 0.250 0.721 0.000
11 Au 0.750 0.375 0.375
12 Au 0.250 0.375 0.000
13 Ho 0.250 0.279 0.279
14 Au 0.250 0.625 0.625
15 Cd 0.500 0.333 0.667
16 Ho 0.250 0.000 0.721

Values from the calculation:
* E_form: -0.67 eV/atom
* DOS(E_F): 6.680 states/eV per cell
* VASP energy: -3.845 eV per atom
* crystal system: hexagonal
* mass density: 11.52 g/cm³
* energy above the most stable polymorph in this dataset: 0.0 meV/atom

# 4
Here is crystalline MnTl2Cd at its relaxed geometry from Alexandria via LeMat-Bulk. Energies are from PBE.

a = 3.746 Å, b = 5.271 Å, c = 4.926 Å
α = 90.00°, β = 90.00°, γ = 90.00°
Site moments in Bohr magnetons follow the coordinates.
Sites, in units of the cell vectors:
1 Mn 0.000 0.500 0.500  4.02
2 Cd 0.500 0.000 0.500  -0.02
3 Tl 0.000 0.000 0.000  0.00
4 Tl 0.500 0.500 0.000  -0.04

Values from the calculation:
* E_form: 0.37 eV/atom
* DOS(E_F): 1.854 states/eV per cell
* VASP energy: -3.333 eV per atom
* crystal system: orthorhombic
* mass density: 9.84 g/cm³
* energy above the most stable polymorph in this dataset: 102.7 meV/atom

# 5
Here is crystalline Sr3SbTe4 at its relaxed geometry from Alexandria via LeMat-Bulk. Energies are from PBE.

a = 6.722 Å, b = 9.811 Å, c = 10.977 Å
α = 90.00°, β = 90.00°, γ = 90.00°
Sites, in units of the cell vectors:
1 Te 0.564 0.140 0.500
2 Sr 0.064 0.667 0.755
3 Te 0.564 0.670 0.255
4 Te 0.064 0.330 0.755
5 Sb 0.065 0.181 0.000
6 Sr 0.564 0.333 0.745
7 Te 0.565 0.179 0.000
8 Sr 0.564 0.854 0.000
9 Te 0.064 0.330 0.245
10 Te 0.065 0.821 0.500
11 Sr 0.064 0.146 0.500
12 Sr 0.064 0.667 0.245
13 Sr 0.564 0.333 0.255
14 Sb 0.565 0.819 0.500
15 Te 0.564 0.670 0.745
16 Te 0.064 0.860 0.000

Values from the calculation:
* DOS(E_F): 3.952 states/eV per cell
* VASP energy: -3.815 eV per atom
* crystal system: orthorhombic
* uncorrected formation energy: -105.95 kJ per mole of atoms
* mass density: 4.11 g/cm³
* energy above the most stable polymorph in this dataset: 74.1 meV/atom

# 6
Here is crystalline Na2BiAsH at its relaxed geometry from Alexandria via LeMat-Bulk. Energies are from PBE.

a = 4.668 Å, b = 4.668 Å, c = 4.707 Å
α = 90.00°, β = 90.00°, γ = 90.00°
Sites, in units of the cell vectors:
1 Na 0.000 0.500 0.000
2 As 0.500 0.500 0.500
3 Na 0.500 0.000 0.000
4 Bi 0.000 0.000 0.500
5 H 0.000 0.000 0.000

Values from the calculation:
* DOS(E_F): 1.684 states/eV per cell
* VASP energy: -3.013 eV per atom
* crystal system: tetragonal
* mass density: 5.36 g/cm³
* energy above the most stable polymorph in this dataset: 0.0 meV/atom